# 1
Material: MnFeIr2
Method: DFT, PBE-GGA
State: optimized geometry

Its volume is 55.9 Å³ per cell. The density of states at the Fermi level comes out at 4.47 states/eV per cell. The value obtained for the raw total energy is -34.982 eV per cell. The offset from the most stable computed form comes out at 283.0 meV per atom. For the formation enthalpy at 0 K, the calculation gives 0.093 eV/atom.

The space group is Pmmm (No. 47) and the conventional cell measures 2.827, 4.326 and 4.573 Å, with angles of 90.00, 90.00 and 90.00 degrees. The asymmetric unit holds Mn at (0.000, 0.000, 0.000), Fe at (0.500, 0.000, 0.500), Ir at (0.000, 0.500, 0.500) and Ir at (0.500, 0.500, 0.000).

=====

# 2
Material: InFeSb2I
Method: DFT, PBE-GGA
State: optimized geometry

Its volume is 156.0 Å³ per cell. The density of states at the Fermi level comes out at 4.17 states/eV per cell. The value obtained for the raw total energy is -19.532 eV per cell. The offset from the most stable computed form comes out at 0.0 meV per atom. The uncorrected formation energy comes out at 0.2928 eV/atom.

The space group is P4/mmm (No. 123) and the conventional cell measures 4.932, 4.932 and 6.414 Å, with angles of 90.00, 90.00 and 90.00 degrees. The asymmetric unit holds In at (0.000, 0.000, 0.000), Fe at (0.500, 0.500, 0.500), Sb at (0.000, 0.500, 0.500) and I at (0.500, 0.500, 0.000).